# 1
Crystalline AcSeO5 at its relaxed geometry. Source: Alexandria, functional PBE-GGA.

a = 7.8170 Å, b = 7.0960 Å, c = 9.4779 Å
α = 90.00°, β = 90.00°, γ = 90.00°
Last column: magnetic moment on the atom in μB.
Fractional positions:
O (0.5831, 0.6705, 0.5505)  0.00
O (0.2500, 0.7764, 0.8001)  0.72
O (0.2500, 0.7236, 0.3001)  0.72
O (0.0831, 0.1705, 0.9495)  0.00
O (0.2500, 0.3933, 0.7549)  0.04
O (0.7500, 0.8933, 0.7451)  0.04
O (0.7500, 0.5078, 0.9649)  0.01
O (0.4169, 0.3295, 0.4495)  0.00
O (0.9169, 0.8295, 0.0505)  0.00
O (0.9169, 0.6705, 0.5505)  0.00
O (0.7500, 0.2764, 0.6999)  0.72
O (0.7500, 0.6067, 0.2451)  0.04
O (0.0831, 0.3295, 0.4495)  0.00
O (0.7500, 0.2236, 0.1999)  0.72
O (0.4169, 0.1705, 0.9495)  0.00
O (0.5831, 0.8295, 0.0505)  0.00
O (0.2500, 0.1067, 0.2549)  0.04
O (0.2500, 0.4922, 0.0351)  0.01
O (0.2500, 0.0078, 0.5351)  0.01
O (0.7500, 0.9922, 0.4649)  0.01
Se (0.7500, 0.8165, 0.5803)  0.00
Se (0.7500, 0.6835, 0.0803)  0.00
Se (0.2500, 0.1835, 0.4197)  0.00
Se (0.2500, 0.3165, 0.9197)  0.00
Ac (0.7500, 0.1477, 0.9422)  -0.01
Ac (0.7500, 0.3523, 0.4422)  -0.01
Ac (0.2500, 0.8523, 0.0578)  -0.01
Ac (0.2500, 0.6477, 0.5578)  -0.01

## Properties
final energy	-6.176	eV/atom
E_form (uncorrected)	-1550	meV per atom
size of the total moment	0.14	μB per atom

# 2
Crystalline Ac2SeO6 at its relaxed geometry. Source: Alexandria, functional PBE-GGA.

a = 4.5755 Å, b = 5.4665 Å, c = 5.4665 Å
α = 60.02°, β = 89.94°, γ = 89.94°
Fractional positions:
O (0.2171, 0.3273, 0.8364)
O (0.2171, 0.8364, 0.3273)
O (0.7829, 0.6727, 0.1636)
O (0.7829, 0.1636, 0.6727)
O (0.2176, 0.8363, 0.8363)
O (0.7824, 0.1637, 0.1637)
Ac (0.7384, 0.6668, 0.6668)
Ac (0.2616, 0.3332, 0.3332)
Se (0.0000, 0.0000, 0.0000)

## Properties
energy above the most stable polymorph in this dataset	62	meV per atom
final energy	-6.845	eV/atom
E_form (uncorrected)	-2240	meV per atom
size of the total moment	0.00	μB per atom

# 3
Crystalline Ac3SeO3 at its relaxed geometry. Source: Alexandria, functional PBE-GGA.

a = 4.3174 Å, b = 9.7915 Å, c = 9.7915 Å
α = 120.00°, β = 90.00°, γ = 90.00°
Fractional positions:
O (0.7500, 0.6446, 0.0487)
O (0.2500, 0.5958, 0.6446)
O (0.7500, 0.9513, 0.5958)
O (0.2500, 0.0487, 0.4042)
O (0.7500, 0.4042, 0.3554)
O (0.2500, 0.3554, 0.9513)
Ac (0.7500, 0.6893, 0.5878)
Ac (0.2500, 0.1014, 0.6893)
Ac (0.2500, 0.5878, 0.8986)
Ac (0.7500, 0.8986, 0.3107)
Ac (0.2500, 0.3107, 0.4122)
Ac (0.7500, 0.4122, 0.1014)
Se (0.2500, 0.6667, 0.3333)
Se (0.7500, 0.3333, 0.6667)

## Properties
energy above the most stable polymorph in this dataset	99	meV per atom
final energy	-7.235	eV/atom
E_form (uncorrected)	-2851	meV per atom
size of the total moment	0.00	μB per atom